DFT (PBE) results for a relaxed Li3PrCd2 crystal.

Summary:
formation energy	-0.181	eV per atom
total magnetic moment	0.0	μB per cell

Cell: 4.626 7.512 9.908 Å, 123.36 90.00 107.93°
Atoms (fractional coordinates):
Li 0.274 0.548 0.436
Li 0.056 0.112 0.377
Li 0.562 0.123 0.672
Li 0.944 0.888 0.623
Li 0.438 0.877 0.328
Li 0.726 0.452 0.564
Cd 0.576 0.152 0.204
Cd 0.424 0.848 0.796
Cd 0.816 0.633 0.285
Cd 0.184 0.367 0.715
Pr 0.857 0.715 0.980
Pr 0.143 0.285 0.020